{
  "formula": "K2ThO3",
  "functional": "SCAN",
  "state": "single point on PBEsol structure",
  "vol_a3_per_atom": 18.3,
  "magnetic_moment_mub_per_fu": 0.00,
  "formation_energy_uncorrected_kj_per_mol_fu": -1636,
  "total_energy_ev_per_cell": -592.89,
  "rho_g_cm3": 5.4,
  "lattice_angstrom": [[6.373, 0.000, 0.003], [3.186, 5.532, 0.002], [2.186, 0.000, 12.462]],
  "species": ["K", "K", "K", "K", "K", "K", "K", "K", "Th", "Th", "Th", "Th", "O", "O", "O", "O", "O", "O", "O", "O", "O", "O", "O", "O"],
  "fractional_positions": [[0.185, 0.157, 0.000], [0.815, 0.843, 0.000], [0.658, 0.157, 0.500], [0.342, 0.843, 0.500], [0.586, 0.828, 0.750], [0.414, 0.172, 0.250], [0.000, 0.500, 0.500], [0.500, 0.500, 0.000], [0.252, 0.497, 0.750], [0.748, 0.503, 0.250], [0.919, 0.162, 0.750], [0.081, 0.838, 0.250], [0.996, 0.171, 0.349], [0.004, 0.829, 0.651], [0.833, 0.171, 0.151], [0.167, 0.829, 0.849], [0.237, 0.212, 0.651], [0.763, 0.788, 0.349], [0.551, 0.212, 0.849], [0.449, 0.788, 0.151], [0.936, 0.444, 0.848], [0.064, 0.556, 0.152], [0.620, 0.444, 0.652], [0.380, 0.556, 0.348]]
}

{
  "formula": "K2Ti6O13",
  "functional": "SCAN",
  "state": "single point on PBEsol structure",
  "vol_a3_per_atom": 12.6,
  "magnetic_moment_mub_per_fu": 0.00,
  "formation_energy_uncorrected_kj_per_mol_fu": -6487,
  "total_energy_ev_per_cell": -261.07,
  "rho_g_cm3": 3.6,
  "lattice_angstrom": [[3.787, 0.000, 0.000], [-1.894, 7.789, 0.025], [0.000, -1.564, 8.984]],
  "species": ["K", "K", "Ti", "Ti", "Ti", "Ti", "Ti", "Ti", "O", "O", "O", "O", "O", "O", "O", "O", "O", "O", "O", "O", "O"],
  "fractional_positions": [[0.546, 0.091, 0.756], [0.454, 0.909, 0.244], [0.768, 0.535, 0.225], [0.232, 0.465, 0.775], [0.829, 0.658, 0.563], [0.171, 0.342, 0.437], [0.885, 0.770, 0.903], [0.115, 0.230, 0.097], [0.833, 0.665, 0.083], [0.167, 0.335, 0.917], [0.642, 0.283, 0.114], [0.358, 0.717, 0.886], [0.866, 0.732, 0.383], [0.134, 0.268, 0.617], [0.703, 0.406, 0.428], [0.297, 0.594, 0.572], [0.000, 0.000, 0.000], [0.239, 0.478, 0.242], [0.761, 0.522, 0.758], [0.077, 0.154, 0.291], [0.923, 0.846, 0.709]]
}